(1)
Computed, not measured: an optimized crystal structure of CdIr2Pt at the PBE-GGA level of DFT.

Summary:
crystal system	cubic
final energy	-5.795	eV per atom
symmetry	No. 216
total moment	0.0	μB per formula unit
calculated volume	64.8	Å³/f.u.
E_form	375	meV/atom

abc: 4.510 4.510 4.510
angles: 60.00 60.00 60.00
Fractional coordinates of all 4 atoms:
Pt 0.250 0.250 0.250
Ir 0.750 0.750 0.750
Cd 0.500 0.500 0.500
Ir 0.000 0.000 0.000


(2)
Computed, not measured: an optimized crystal structure of CdIr2Pt at the PBE-GGA level of DFT.

Summary:
crystal system	monoclinic
final energy	-5.968	eV per atom
symmetry	No. 10
total moment	0.0	μB per formula unit
calculated volume	64.7	Å³/f.u.
E_form	202	meV/atom

abc: 4.821 2.783 4.821
angles: 89.54 90.00 90.00
Fractional coordinates of all 4 atoms:
Cd 0.500 0.750 0.750
Pt 0.500 0.250 0.250
Ir 0.000 0.013 0.009
Ir 0.000 0.487 0.491


(3)
Computed, not measured: an optimized crystal structure of CdIr2Pt at the PBE-GGA level of DFT.

Summary:
crystal system	trigonal
final energy	-5.973	eV per atom
symmetry	No. 166
total moment	0.0	μB per formula unit
calculated volume	63.9	Å³/f.u.
E_form	196	meV/atom

abc: 9.324 9.324 9.324
angles: 17.48 17.48 17.48
Fractional coordinates of all 4 atoms:
Pt 0.250 0.250 0.250
Ir 0.996 0.996 0.996
Cd 0.750 0.750 0.750
Ir 0.504 0.504 0.504


(4)
Computed, not measured: an optimized crystal structure of Cd2IrPt at the PBE-GGA level of DFT.

Summary:
crystal system	tetragonal
final energy	-4.179	eV per atom
symmetry	No. 139
total moment	0.0	μB per formula unit
calculated volume	69.2	Å³/f.u.
E_form	4	meV/atom

abc: 4.911 4.911 4.911
angles: 129.25 129.25 74.60
Fractional coordinates of all 4 atoms:
Cd 0.000 0.000 0.000
Pt 0.750 0.250 0.500
Ir 0.250 0.750 0.500
Cd 0.500 0.500 0.000


(5)
Computed, not measured: an optimized crystal structure of Cd3IrPt12 at the PBE-GGA level of DFT.

Summary:
crystal system	tetragonal
final energy	-5.379	eV per atom
symmetry	No. 123
total moment	0.1	μB per formula unit
calculated volume	259.3	Å³/f.u.
E_form	-123	meV/atom

abc: 4.002 4.002 16.191
angles: 90.00 90.00 90.00
Fractional coordinates of all 16 atoms:
Ir 0.000 0.000 0.000
Pt 0.500 0.000 0.881
Cd 0.000 0.000 0.752
Pt 0.500 0.000 0.374
Pt 0.500 0.500 0.000
Pt 0.000 0.500 0.881
Pt 0.500 0.500 0.500
Pt 0.500 0.500 0.753
Pt 0.000 0.500 0.626
Pt 0.500 0.000 0.119
Pt 0.500 0.000 0.626
Pt 0.500 0.500 0.247
Cd 0.000 0.000 0.248
Pt 0.000 0.500 0.374
Cd 0.000 0.000 0.500
Pt 0.000 0.500 0.119


(6)
Computed, not measured: an optimized crystal structure of CdIr2Pt at the PBE-GGA level of DFT.

Summary:
crystal system	trigonal
final energy	-6.105	eV per atom
symmetry	No. 160
total moment	0.0	μB per formula unit
calculated volume	63.8	Å³/f.u.
E_form	64	meV/atom

abc: 9.418 9.418 9.418
angles: 17.21 17.21 17.21
Fractional coordinates of all 4 atoms:
Ir 0.995 0.995 0.995
Cd 0.749 0.749 0.749
Pt 0.504 0.504 0.504
Ir 0.252 0.252 0.252


(7)
Computed, not measured: an optimized crystal structure of Cd3IrPt at the PBE-GGA level of DFT.

Summary:
crystal system	cubic
final energy	-2.702	eV per atom
energy above the most stable polymorph in this dataset	0	meV per atom
symmetry	No. 221
total moment	0.0	μB per formula unit
calculated volume	131.2	Å³/f.u.
E_form	827	meV/atom

abc: 5.081 5.081 5.081
angles: 90.00 90.00 90.00
Fractional coordinates of all 5 atoms:
Cd 0.500 0.000 0.000
Cd 0.000 0.500 0.000
Ir 0.000 0.000 0.000
Cd 0.000 0.000 0.500
Pt 0.500 0.500 0.500


(8)
Computed, not measured: an optimized crystal structure of CdIrPt at the PBE-GGA level of DFT.

Summary:
crystal system	orthorhombic
final energy	-5.119	eV per atom
energy above the most stable polymorph in this dataset	95	meV per atom
symmetry	No. 44
total moment	0.0	μB per formula unit
calculated volume	49.9	Å³/f.u.
E_form	153	meV/atom

abc: 5.050 5.050 5.050
angles: 147.88 132.74 58.29
Fractional coordinates of all 3 atoms:
Ir 0.325 0.325 0.000
Pt 0.676 0.676 0.000
Cd 0.000 0.000 0.000


(9)
Computed, not measured: an optimized crystal structure of Cd2IrPt at the PBE-GGA level of DFT.

Summary:
crystal system	monoclinic
final energy	-4.085	eV per atom
symmetry	No. 10
total moment	0.0	μB per formula unit
calculated volume	69.3	Å³/f.u.
E_form	98	meV/atom

abc: 4.748 2.855 5.116
angles: 87.45 90.00 90.00
Fractional coordinates of all 4 atoms:
Cd 0.000 0.509 0.498
Pt 0.500 0.750 0.750
Cd 0.000 0.991 0.002
Ir 0.500 0.250 0.250


(10)
Computed, not measured: an optimized crystal structure of CdIrPt at the PBE-GGA level of DFT.

Summary:
crystal system	orthorhombic
final energy	-5.107	eV per atom
energy above the most stable polymorph in this dataset	107	meV per atom
symmetry	No. 42
total moment	0.0	μB per formula unit
calculated volume	49.8	Å³/f.u.
E_form	166	meV/atom

abc: 7.592 7.328 2.822
angles: 84.40 73.89 21.71
Fractional coordinates of all 3 atoms:
Cd 0.999 0.999 0.001
Ir 0.331 0.331 0.669
Pt 0.670 0.670 0.330


(11)
Computed, not measured: an optimized crystal structure of CdIr2Pt at the PBE-GGA level of DFT.

Summary:
crystal system	monoclinic
final energy	-6.071	eV per atom
symmetry	No. 8
total moment	0.0	μB per formula unit
calculated volume	64.1	Å³/f.u.
E_form	98	meV/atom

abc: 4.851 4.851 4.953
angles: 80.56 80.56 33.92
Fractional coordinates of all 4 atoms:
Pt 0.495 0.495 0.497
Ir 0.008 0.008 0.963
Cd 0.250 0.250 0.265
Ir 0.747 0.747 0.775


(12)
Computed, not measured: an optimized crystal structure of CdIr2Pt at the PBE-GGA level of DFT.

Summary:
crystal system	tetragonal
final energy	-5.687	eV per atom
symmetry	No. 122
total moment	0.0	μB per formula unit
calculated volume	71.7	Å³/f.u.
E_form	483	meV/atom

abc: 3.899 3.899 9.827
angles: 78.56 78.56 90.00
Fractional coordinates of all 8 atoms:
Cd 0.250 0.750 0.500
Ir 0.674 0.125 0.250
Pt 0.000 0.000 0.000
Ir 0.375 0.326 0.750
Cd 0.500 0.500 0.000
Ir 0.875 0.924 0.750
Pt 0.750 0.250 0.500
Ir 0.076 0.625 0.250


> E_form of number 1 (CdIr2Pt)?

375 meV/atom


Please write out number 10 again, unchanged.
Computed, not measured: an optimized crystal structure of CdIrPt at the PBE-GGA level of DFT.

Summary:
crystal system	orthorhombic
final energy	-5.107	eV per atom
energy above the most stable polymorph in this dataset	107	meV per atom
symmetry	No. 42
total moment	0.0	μB per formula unit
calculated volume	49.8	Å³/f.u.
E_form	166	meV/atom

abc: 7.592 7.328 2.822
angles: 84.40 73.89 21.71
Fractional coordinates of all 3 atoms:
Cd 0.999 0.999 0.001
Ir 0.331 0.331 0.669
Pt 0.670 0.670 0.330